Material: Re5Ni3
Method: DFT, PBE-GGA
State: optimized geometry

POSCAR file:
```
Re5Ni3
1.0
3.754 -3.797 0.000
3.754 3.797 0.000
0.000 0.000 3.792
Re Ni
5 3
direct
0.000 0.000 0.000
0.744 0.256 0.500
0.256 0.744 0.500
0.000 0.500 0.000
0.500 0.000 0.000
0.751 0.751 0.500
0.500 0.500 0.000
0.249 0.249 0.500
```

Results
Crystal system = orthorhombic
Relative energy among the computed polymorphs = 3 meV/atom
Energy relative to the elements = 58 meV/atom
SG = Cmmm (65)